# Tl3Cu GGA-PBE relaxed
data_Tl3Cu
_chemical_formula_sum 'Tl6 Cu2'
_cell_length_a 3.326
_cell_length_b 4.673
_cell_length_c 13.758
_cell_angle_alpha 90.00
_cell_angle_beta 90.00
_cell_angle_gamma 90.00
_symmetry_space_group_name_H-M 'I m m m'
_symmetry_Int_Tables_number 71
_symmetry_space_group_name_Hall '-I 2 2'
loop_
_atom_site_label
_atom_site_fract_x
_atom_site_fract_y
_atom_site_fract_z
Tl1 0.000 0.000 0.000
Tl2 0.000 0.500 0.181
Cu1 0.000 0.000 0.500
# ΔH_f (0 K), kJ per mole of atoms: 18.5
# Calculated total energy, eV per atom: -2.6075
# Total moment, μB/f.u.: 0.00